# 1
VASP calculation (GGA-PBEsol) on a relaxed MoOsRu2 crystal.

abc: 3.8112 3.8112 7.6868
angles: 90.00 90.00 90.00
With the nearest neighbours (Å) after each atom.
Sites, in units of the cell vectors:
Mo (0.0000, 0.0000, 0.0000)  4 Os 2.69, 8 Ru 2.71
Mo (0.5000, 0.5000, 0.5000)  4 Os 2.69, 8 Ru 2.71
Os (0.0000, 0.0000, 0.5000)  4 Mo 2.69, 8 Ru 2.71
Os (0.5000, 0.5000, 0.0000)  4 Mo 2.69, 8 Ru 2.71
Ru (0.0000, 0.5000, 0.2500)  4 Ru 2.69, 4 Mo 2.71, 4 Os 2.71
Ru (0.0000, 0.5000, 0.7500)  4 Ru 2.69, 4 Mo 2.71, 4 Os 2.71
Ru (0.5000, 0.0000, 0.2500)  4 Ru 2.69, 4 Mo 2.71, 4 Os 2.71
Ru (0.5000, 0.0000, 0.7500)  4 Ru 2.69, 4 Mo 2.71, 4 Os 2.71

Properties
- total DFT energy (no corrections) (eV per atom) = -11.04
- N(E_F) (states/eV/atom) = 0.865
- ΔE_f (eV per formula unit) = 0.16
- space group = No. 139

# 2
VASP calculation (GGA-PBEsol) on a relaxed MoOsRu2 crystal.

abc: 3.8225 3.8225 3.8167
angles: 90.00 90.00 90.00
With the nearest neighbours (Å) after each atom.
Sites, in units of the cell vectors:
Mo (0.0000, 0.0000, 0.0000)  8 Ru 2.70, 4 Os 2.70
Os (0.5000, 0.5000, 0.0000)  8 Ru 2.70, 4 Mo 2.70
Ru (0.0000, 0.5000, 0.5000)  4 Mo 2.70, 4 Os 2.70, 4 Ru 2.70
Ru (0.5000, 0.0000, 0.5000)  4 Mo 2.70, 4 Os 2.70, 4 Ru 2.70

Properties
- total DFT energy (no corrections) (eV per atom) = -11.07
- N(E_F) (states/eV/atom) = 0.888
- ΔE_f (eV per formula unit) = 0.03
- space group = No. 123

# 3
VASP calculation (GGA-PBEsol) on a relaxed Mo2OsRu crystal.

abc: 5.5009 7.6675 2.7435
angles: 90.00 90.00 90.00
With the nearest neighbours (Å) after each atom.
Sites, in units of the cell vectors:
Mo (0.2500, 0.2500, 0.0000)  4 Ru 2.73, 4 Os 2.73, 4 Mo 2.74-2.75
Mo (0.2500, 0.7500, 0.0000)  4 Ru 2.73, 4 Os 2.73, 4 Mo 2.74-2.75
Mo (0.7500, 0.2500, 0.0000)  4 Ru 2.73, 4 Os 2.73, 4 Mo 2.74-2.75
Mo (0.7500, 0.7500, 0.0000)  4 Ru 2.73, 4 Os 2.73, 4 Mo 2.74-2.75
Os (0.0000, 0.0000, 0.5000)  8 Mo 2.73, 2 Os 2.74, 2 Ru 2.75
Os (0.5000, 0.5000, 0.5000)  8 Mo 2.73, 2 Os 2.74, 2 Ru 2.75
Ru (0.0000, 0.5000, 0.5000)  8 Mo 2.73, 2 Ru 2.74, 2 Os 2.75
Ru (0.5000, 0.0000, 0.5000)  8 Mo 2.73, 2 Ru 2.74, 2 Os 2.75

Properties
- total DFT energy (no corrections) (eV per atom) = -11.42
- N(E_F) (states/eV/atom) = 0.958
- ΔE_f (eV per formula unit) = 0.25
- space group = No. 65

- Which of these has the lowest N(E_F)?
  number 1

- Which formula does entry 2 have?
  MoOsRu2

- Number 1 is which compound?
  MoOsRu2

- Among the records above, which one has the highest ΔE_f?
  Mo2OsRu